Entry i
# TlBr

A geometry-optimized TlBr structure (PBE-GGA, Alexandria).

Symmetry: F-43m, No. 216
N(E_F): 0.000 states/eV per atom

a b c (Å): 7.4749 7.4749 7.4749
angles (deg): 90.00 90.00 90.00
Last column: nearest neighbours and their distance in Å.
Sites, in units of the cell vectors:
1 Tl 0.0000 0.0000 0.0000  4 Br 3.24
2 Tl 0.0000 0.5000 0.5000  4 Br 3.24
3 Tl 0.5000 0.0000 0.5000  4 Br 3.24
4 Tl 0.5000 0.5000 0.0000  4 Br 3.24
5 Br 0.2500 0.2500 0.2500  4 Tl 3.24
6 Br 0.2500 0.7500 0.7500  4 Tl 3.24
7 Br 0.7500 0.2500 0.7500  4 Tl 3.24
8 Br 0.7500 0.7500 0.2500  4 Tl 3.24

=====

Entry ii
# TlBr

A geometry-optimized TlBr structure (PBE-GGA, Alexandria).

Symmetry: P6_3/mmc, No. 194
N(E_F): 0.000 states/eV per atom

a b c (Å): 4.6293 4.6293 8.2553
angles (deg): 90.00 90.00 120.00
Last column: nearest neighbours and their distance in Å.
Sites, in units of the cell vectors:
1 Tl 0.3333 0.6667 0.2500  6 Br 3.38
2 Tl 0.6667 0.3333 0.7500  6 Br 3.38
3 Br 0.0000 0.0000 0.0000  6 Tl 3.38
4 Br 0.0000 0.0000 0.5000  6 Tl 3.38

=====

Entry iii
# TlBr

A geometry-optimized TlBr structure (PBE-GGA, Alexandria).

Symmetry: R-3m, No. 166
N(E_F): 0.000 states/eV per atom

a b c (Å): 4.7467 4.7467 26.1573
angles (deg): 90.00 90.00 120.00
Last column: nearest neighbours and their distance in Å.
Sites, in units of the cell vectors:
1 Tl 0.0000 0.0000 0.1171  3 Br 3.07
2 Tl 0.0000 0.0000 0.8829  3 Br 3.07
3 Tl 0.3333 0.6667 0.5496  3 Br 3.07
4 Tl 0.3333 0.6667 0.7838  3 Br 3.07
5 Tl 0.6667 0.3333 0.2162  3 Br 3.07
6 Tl 0.6667 0.3333 0.4504  3 Br 3.07
7 Br 0.0000 0.0000 0.3979  3 Tl 3.07
8 Br 0.0000 0.0000 0.6021  3 Tl 3.07
9 Br 0.3333 0.6667 0.0646  3 Tl 3.07
10 Br 0.3333 0.6667 0.2688  3 Tl 3.07
11 Br 0.6667 0.3333 0.7312  3 Tl 3.07
12 Br 0.6667 0.3333 0.9354  3 Tl 3.07

=====

entry ii ends up most stable, edging out the next structure by 49 meV per atom.

=====

Entry i
# TlBr4

A geometry-optimized TlBr4 structure (PBE-GGA, Alexandria).

Symmetry: C2/m, No. 12

a b c (Å): 7.1598 7.1598 10.4262
angles (deg): 91.04 91.04 120.34
Last column: nearest neighbours and their distance in Å.
Sites, in units of the cell vectors:
1 Tl 0.1704 0.8296 0.0000  6 Br 2.79-2.84
2 Tl 0.8296 0.1704 0.0000  6 Br 2.79-2.84
3 Br 0.1315 0.4865 0.8436  2 Tl 2.79-2.81
4 Br 0.1496 0.1496 0.1543  2 Tl 2.84, 1 Br 3.13
5 Br 0.4018 0.4018 0.4070  1 Br 2.35
6 Br 0.4865 0.1315 0.8436  2 Tl 2.79-2.81
7 Br 0.5135 0.8685 0.1564  2 Tl 2.79-2.81
8 Br 0.5982 0.5982 0.5930  1 Br 2.35
9 Br 0.8504 0.8504 0.8457  2 Tl 2.84, 1 Br 3.13
10 Br 0.8685 0.5135 0.1564  2 Tl 2.79-2.81

=====

Entry ii
# TlBr4

A geometry-optimized TlBr4 structure (PBE-GGA, Alexandria).

Symmetry: Pm-3m, No. 221
N(E_F): 1.226 states/eV per atom

a b c (Å): 5.6193 5.6193 5.6193
angles (deg): 90.00 90.00 90.00
Last column: nearest neighbours and their distance in Å.
Sites, in units of the cell vectors:
1 Tl 0.0000 0.0000 0.0000  6 Br 2.81
2 Br 0.0000 0.0000 0.5000  2 Tl 2.81
3 Br 0.0000 0.5000 0.0000  2 Tl 2.81
4 Br 0.5000 0.0000 0.0000  2 Tl 2.81
5 Br 0.5000 0.5000 0.5000  12 Br 3.97

=====

entry i ends up most stable, edging out the next structure by 343 meV per atom.

=====

Entry i
# Tl3Br4

A geometry-optimized Tl3Br4 structure (PBE-GGA, Alexandria).

Symmetry: Fd-3m, No. 227
N(E_F): 0.517 states/eV per atom

a b c (Å): 9.4180 9.4180 9.4180
angles (deg): 60.00 60.00 60.00
Last column: nearest neighbours and their distance in Å.
Sites, in units of the cell vectors:
1 Tl 0.0000 0.0000 0.0000  6 Br 3.32
2 Tl 0.0000 0.0000 0.5000  6 Br 3.32
3 Tl 0.0000 0.5000 0.0000  6 Br 3.32
4 Tl 0.3750 0.3750 0.3750  4 Br 2.90
5 Tl 0.5000 0.0000 0.0000  6 Br 3.32
6 Tl 0.6250 0.6250 0.6250  4 Br 2.90
7 Br 0.2477 0.7508 0.7508  1 Tl 2.90
8 Br 0.2492 0.2492 0.2492  1 Tl 2.90
9 Br 0.2492 0.2492 0.7523  1 Tl 2.90
10 Br 0.2492 0.7523 0.2492  1 Tl 2.90
11 Br 0.7508 0.2477 0.7508  1 Tl 2.90
12 Br 0.7508 0.7508 0.2477  1 Tl 2.90
13 Br 0.7508 0.7508 0.7508  1 Tl 2.90
14 Br 0.7523 0.2492 0.2492  1 Tl 2.90

=====

Entry ii
# Tl3Br4

A geometry-optimized Tl3Br4 structure (PBE-GGA, Alexandria).

Symmetry: R-3m, No. 166
N(E_F): 1.060 states/eV per atom

a b c (Å): 13.4947 13.4947 13.4947
angles (deg): 20.35 20.35 20.35
Last column: nearest neighbours and their distance in Å.
Sites, in units of the cell vectors:
1 Tl 0.0000 0.0000 0.0000  6 Br 3.31
2 Tl 0.2354 0.2354 0.2354  6 Br 3.10-3.43
3 Tl 0.7646 0.7646 0.7646  6 Br 3.10-3.43
4 Br 0.1338 0.1338 0.1338  3 Tl 3.10
5 Br 0.3797 0.3797 0.3797  6 Tl 3.31-3.43
6 Br 0.6203 0.6203 0.6203  6 Tl 3.31-3.43
7 Br 0.8662 0.8662 0.8662  3 Tl 3.10

=====

Entry iii
# Tl3Br4

A geometry-optimized Tl3Br4 structure (PBE-GGA, Alexandria).

Symmetry: P6/mmm, No. 191
N(E_F): 0.376 states/eV per atom

a b c (Å): 7.2743 7.2743 5.3900
angles (deg): 90.00 90.00 120.00
Last column: nearest neighbours and their distance in Å.
Sites, in units of the cell vectors:
1 Tl 0.0000 0.5000 0.0000  4 Br 3.42, 4 Tl 3.64
2 Tl 0.5000 0.0000 0.0000  4 Br 3.42, 4 Tl 3.64
3 Tl 0.5000 0.5000 0.0000  4 Br 3.42, 4 Tl 3.64
4 Br 0.0000 0.0000 0.2521  2 Br 2.67-2.72
5 Br 0.0000 0.0000 0.7479  2 Br 2.67-2.72
6 Br 0.3333 0.6667 0.5000  6 Tl 3.42
7 Br 0.6667 0.3333 0.5000  6 Tl 3.42

=====

entry i ends up most stable, edging out the next structure by 28 meV per atom.

=====

Entry i
# Tl2VBr5

A geometry-optimized Tl2VBr5 structure (PBE-GGA, Alexandria).

Symmetry: P1, No. 1

a b c (Å): 6.8128 7.6579 7.6682
angles (deg): 101.54 112.94 112.63
Last column: nearest neighbours and their distance in Å.
Sites, in units of the cell vectors:
1 Tl 0.0000 0.0000 0.0000  5 Br 3.29-3.52
2 Tl 0.0003 0.4602 0.5390  6 Br 3.30-3.69
3 V 0.4158 0.6683 0.2085  5 Br 2.41-2.60
4 Br 0.0485 0.6525 0.1918  1 V 2.41
5 Br 0.3603 0.3967 0.9375  1 V 2.42
6 Br 0.4134 0.8841 0.9862  1 V 2.60
7 Br 0.4157 0.4470 0.4255  1 V 2.60
8 Br 0.8241 0.9463 0.4866  1 V 2.41

=====

Entry ii
# Tl2VBr5

A geometry-optimized Tl2VBr5 structure (PBE-GGA, Alexandria).

Symmetry: Cmcm, No. 63
N(E_F): 0.761 states/eV per atom

a b c (Å): 8.2382 8.2382 14.3015
angles (deg): 90.00 90.00 143.60
Last column: nearest neighbours and their distance in Å.
Sites, in units of the cell vectors:
1 Tl 0.1189 0.8811 0.5140  6 Br 3.30-3.59
2 Tl 0.1189 0.8811 0.9860  6 Br 3.30-3.59
3 Tl 0.8811 0.1189 0.0140  6 Br 3.30-3.59
4 Tl 0.8811 0.1189 0.4860  6 Br 3.30-3.59
5 V 0.4124 0.5876 0.2500  6 Br 2.48-2.63
6 V 0.5876 0.4124 0.7500  6 Br 2.48-2.63
7 Br 0.1053 0.8947 0.7500  2 V 2.59
8 Br 0.2925 0.7075 0.1211  1 V 2.63
9 Br 0.2925 0.7075 0.3789  1 V 2.63
10 Br 0.4773 0.5227 0.6258  1 V 2.48
11 Br 0.4773 0.5227 0.8742  1 V 2.48
12 Br 0.5227 0.4773 0.1258  1 V 2.48
13 Br 0.5227 0.4773 0.3742  1 V 2.48
14 Br 0.7075 0.2925 0.6211  1 V 2.63
15 Br 0.7075 0.2925 0.8789  1 V 2.63
16 Br 0.8947 0.1053 0.2500  2 V 2.59

=====

entry i ends up most stable, edging out the next structure by 44 meV per atom.